Computed, not measured: an optimized crystal structure of TmLuAg2 at the GGA-PBEsol level of DFT.

The calculated density is 10.77 g/cm³. The value obtained for the formation energy is -0.36 eV per atom. The energy comes out at -4.458 eV/atom. The density of states at the Fermi level comes out at 8.209 states/eV per cell.

The structure belongs to space group Fm-3m (No. 225); the cell edges are 7.015, 7.015 and 7.015 Å and the angles 90.00°, 90.00° and 90.00°. The asymmetric unit holds Tm at (0.000, 0.000, 0.000), Lu at (0.000, 0.000, 0.500) and Ag at (0.250, 0.250, 0.250).



Computed, not measured: an optimized crystal structure of MgAg5 at the GGA-PBEsol level of DFT.

The calculated density is 9.26 g/cm³. The value obtained for the formation energy is -0.11 eV per atom. The energy comes out at -3.156 eV/atom. The density of states at the Fermi level comes out at 1.794 states/eV per cell.

The structure belongs to space group P-62m (No. 189); the cell edges are 4.9828, 4.9828 and 4.7011 Å and the angles 90.00°, 90.00° and 120.00°. The asymmetric unit holds Mg at (0.0000, 0.0000, 0.0000), Ag at (0.0000, 0.6652, 0.5000) and Ag at (0.3333, 0.6667, 0.0000).



Computed, not measured: an optimized crystal structure of Mg3Ag at the GGA-PBEsol level of DFT.

The calculated density is 3.78 g/cm³. The value obtained for the formation energy is -0.07 eV per atom. The energy comes out at -2.185 eV/atom. The density of states at the Fermi level comes out at 1.173 states/eV per cell.

The structure belongs to space group P2/m (No. 10); the cell edges are 3.033, 4.578 and 5.873 Å and the angles 90.00°, 103.18° and 90.00°. The asymmetric unit holds Mg at (0.000, 0.000, 0.000), Mg at (0.430, 0.500, 0.736) and Ag at (0.000, 0.000, 0.500).



Computed, not measured: an optimized crystal structure of Mg3Ag at the GGA-PBEsol level of DFT.

The calculated density is 3.80 g/cm³. The value obtained for the formation energy is -0.10 eV per atom. The energy comes out at -2.220 eV/atom. The density of states at the Fermi level comes out at 2.218 states/eV per cell.

The structure belongs to space group C2/m (No. 12); the cell edges are 10.523, 3.491 and 4.762 Å and the angles 90.00°, 115.59° and 90.00°. The asymmetric unit holds Mg at (0.000, 0.000, 0.000), Mg at (0.230, 0.000, 0.730) and Ag at (0.000, 0.500, 0.500).



Computed, not measured: an optimized crystal structure of Mg4Ag at the GGA-PBEsol level of DFT.

The calculated density is 3.31 g/cm³. The calculation puts the energy relative to the lowest polymorph listed for this composition at 0.0 meV per atom. The value obtained for the formation energy is -0.09 eV per atom. The energy comes out at -2.123 eV/atom. The density of states at the Fermi level comes out at 3.155 states/eV per cell.

The structure belongs to space group C2/m (No. 12); the cell edges are 11.280, 3.230 and 7.945 Å and the angles 90.00°, 134.76° and 90.00°. The asymmetric unit holds Mg at (0.082, 0.000, 0.362), Mg at (0.222, 0.500, 0.804) and Ag at (0.000, 0.500, 0.000).



Computed, not measured: an optimized crystal structure of MgAg5 at the GGA-PBEsol level of DFT.

The calculated density is 9.21 g/cm³. The value obtained for the formation energy is -0.06 eV per atom. The energy comes out at -3.110 eV/atom. The density of states at the Fermi level comes out at 1.691 states/eV per cell.

The structure belongs to space group P4/mmm (No. 123); the cell edges are 2.913, 2.913 and 11.977 Å and the angles 90.00°, 90.00° and 90.00°. The asymmetric unit holds Mg at (0.000, 0.000, 0.000), Ag at (0.000, 0.000, 0.334), Ag at (0.500, 0.500, 0.166) and Ag at (0.500, 0.500, 0.500).